[1]
The following is a DFT calculation (GGA-PBE) of an optimized crystal structure of BiP2RuO.

Cell and atoms, written as CIF:
```
data_BiP2RuO
_cell_length_a 4.899
_cell_length_b 4.899
_cell_length_c 3.723
_cell_angle_alpha 90.00
_cell_angle_beta 90.00
_cell_angle_gamma 90.00
_space_group_name_H-M_alt 'P 4/m m m'
_space_group_IT_number 123
_space_group_name_Hall '-P 4 2'
loop_
_atom_site_label
_atom_site_type_symbol
_atom_site_fract_x
_atom_site_fract_y
_atom_site_fract_z
Bi1 Bi 0.000 0.000 0.000
P1 P 0.000 0.500 0.500
Ru1 Ru 0.500 0.500 0.500
O1 O 0.500 0.500 0.000
```

Summary:
Energy in eV/atom: -5.771
Uncorrected formation energy in eV per atom: 0.0159

[2]
The following is a DFT calculation (GGA-PBE) of an optimized crystal structure of La2Tb8Al.

Cell and atoms, written as CIF:
```
data_La2Tb8Al
_cell_length_a 18.975
_cell_length_b 5.444
_cell_length_c 6.789
_cell_angle_alpha 90.00
_cell_angle_beta 92.74
_cell_angle_gamma 90.00
_space_group_name_H-M_alt 'C 1 2/m 1'
_space_group_IT_number 12
loop_
_space_group_symop_operation_xyz
'x,y,z'
'-x,-y,-z'
'-x,y,-z'
'x,-y,z'
'x+1/2,y+1/2,z'
'-x+1/2,-y+1/2,-z'
'-x+1/2,y+1/2,-z'
'x+1/2,-y+1/2,z'
loop_
_atom_site_label
_atom_site_type_symbol
_atom_site_fract_x
_atom_site_fract_y
_atom_site_fract_z
La1 La 0.225 0.000 0.166
Tb1 Tb 0.035 0.000 0.257
Tb2 Tb 0.085 0.500 0.907
Tb3 Tb 0.154 0.500 0.400
Tb4 Tb 0.157 0.000 0.671
Al1 Al 0.000 0.500 0.500
```

Summary:
ΔH_f (0 K) in eV/atom: -0.016
Energy in eV/atom: -4.619

[3]
The following is a DFT calculation (GGA-PBE) of an optimized crystal structure of MgSc2Ta.

Cell and atoms, written as CIF:
```
data_MgSc2Ta
_cell_length_a 3.195
_cell_length_b 5.052
_cell_length_c 5.248
_cell_angle_alpha 90.00
_cell_angle_beta 90.00
_cell_angle_gamma 90.00
_space_group_name_H-M_alt 'P m m m'
_space_group_IT_number 47
loop_
_space_group_symop_operation_xyz
'x,y,z'
'-x,-y,-z'
'-x,-y,z'
'x,y,-z'
'x,-y,-z'
'-x,y,z'
'-x,y,-z'
'x,-y,z'
loop_
_atom_site_label
_atom_site_type_symbol
_atom_site_fract_x
_atom_site_fract_y
_atom_site_fract_z
Mg1 Mg 0.000 0.000 0.000
Sc1 Sc 0.000 0.500 0.500
Sc2 Sc 0.500 0.500 0.000
Ta1 Ta 0.500 0.000 0.500
```

Summary:
ΔH_f (0 K) in eV/atom: 0.305
Energy in eV/atom: -6.222

Across the entries above, magnetic moment takes the values 0.0, 0.0, 0.0 μB per cell, respectively.